## RuRh2N2 (GGA-PBE)

Data for RuRh2N2 after structural relaxation.

Unit cell a=5.560 b=5.560 c=3.905 alpha=90.00 beta=90.00 gamma=90.00
Fractional coordinates of all 10 atoms:
Ru  0.000  0.000  0.000
Ru  0.500  0.500  0.000
Rh  0.176  0.324  0.500
Rh  0.324  0.824  0.500
Rh  0.676  0.176  0.500
Rh  0.824  0.676  0.500
N  0.181  0.319  0.000
N  0.319  0.819  0.000
N  0.681  0.181  0.000
N  0.819  0.681  0.000

Summary:
Formation energy from raw total energies in eV/atom: 0.380
Electronic total energy in eV/cell: -77.5
Space group: P4/mbm, No. 127
DOS at the Fermi energy in states/eV per atom: 1.118
Calculated volume in A^3/atom: 12.072
Size of the total moment in μB/atom: 0.000

---

## BaZrNi3 (GGA-PBE)

Data for BaZrNi3 after structural relaxation.

Unit cell a=4.827 b=4.827 c=4.827 alpha=90.00 beta=90.00 gamma=90.00
Fractional coordinates of all 5 atoms:
Ba  0.000  0.000  0.000
Zr  0.500  0.500  0.500
Ni  0.000  0.000  0.500
Ni  0.000  0.500  0.000
Ni  0.500  0.000  0.000

Summary:
Electronic total energy in eV/cell: -19.7
Space group: Pm-3m, No. 221
ΔE to the lowest computed polymorph in meV/atom: 1148
DOS at the Fermi energy in states/eV per atom: 1.177
Calculated volume in A^3/atom: 22.487
Size of the total moment in μB/atom: 0.000

---

## LiTeAs2 (GGA-PBE)

Data for LiTeAs2 after structural relaxation.

Unit cell a=6.413 b=6.413 c=4.488 alpha=107.46 beta=107.46 gamma=33.31
Fractional coordinates of all 4 atoms:
Li  0.000  0.000  0.000
Te  0.500  0.500  0.500
As  0.256  0.256  0.189
As  0.744  0.744  0.811

Summary:
Formation energy from raw total energies in eV/atom: -0.253
Electronic total energy in eV/cell: -15.4
Space group: C2/m, No. 12
DOS at the Fermi energy in states/eV per atom: 0.280
Calculated volume in A^3/atom: 24.065
Size of the total moment in μB/atom: 0.000

---

## YPuN2 (GGA-PBE)

Data for YPuN2 after structural relaxation.

Unit cell a=6.199 b=6.199 c=6.199 alpha=32.31 beta=32.31 gamma=32.31
Fractional coordinates of all 4 atoms:
Y  0.000  0.000  0.000
Pu  0.173  0.173  0.173
N  0.585  0.585  0.585
N  0.761  0.761  0.761

Summary:
Formation energy from raw total energies in eV/atom: -1.233
Electronic total energy in eV/cell: -42.4
Space group: R3m, No. 160
DOS at the Fermi energy in states/eV per atom: 1.587
Calculated volume in A^3/atom: 15.124
Size of the total moment in μB/atom: 1.237

---

## V6FeRh2 (GGA-PBE)

Data for V6FeRh2 after structural relaxation.

Unit cell a=6.685 b=6.685 c=6.685 alpha=142.89 beta=128.46 gamma=65.21
Fractional coordinates of all 9 atoms:
V  0.102  0.344  0.758
V  0.217  0.000  0.217
V  0.414  0.656  0.758
V  0.586  0.344  0.242
V  0.783  0.000  0.783
V  0.898  0.656  0.242
Fe  0.000  0.500  0.500
Rh  0.331  0.831  0.500
Rh  0.669  0.169  0.500

Summary:
Electronic total energy in eV/cell: -75.2
Space group: Immm, No. 71
DOS at the Fermi energy in states/eV per atom: 1.218
Calculated volume in A^3/atom: 15.480
Size of the total moment in μB/atom: 0.000

---

## CaPuCuGe (GGA-PBE)

Data for CaPuCuGe after structural relaxation.

Unit cell a=5.022 b=5.022 c=5.022 alpha=60.00 beta=60.00 gamma=60.00
Fractional coordinates of all 4 atoms:
Ca  0.000  0.000  0.000
Pu  0.500  0.500  0.500
Cu  0.750  0.750  0.750
Ge  0.250  0.250  0.250

Summary:
Electronic total energy in eV/cell: -26.0
Space group: F-43m, No. 216
DOS at the Fermi energy in states/eV per atom: 2.241
Calculated volume in A^3/atom: 22.392
Size of the total moment in μB/atom: 1.308

---

## Na2Sn3BiPt4 (GGA-PBE)

Data for Na2Sn3BiPt4 after structural relaxation.

Unit cell a=4.787 b=4.787 c=10.433 alpha=90.00 beta=90.00 gamma=90.00
Fractional coordinates of all 10 atoms:
Na  0.000  0.500  0.227
Na  0.500  0.000  0.773
Sn  0.000  0.500  0.883
Sn  0.500  0.000  0.117
Sn  0.500  0.500  0.500
Bi  0.000  0.000  0.500
Pt  0.000  0.000  0.000
Pt  0.000  0.500  0.632
Pt  0.500  0.000  0.368
Pt  0.500  0.500  0.000

Summary:
Electronic total energy in eV/cell: -46.7
Space group: P-4m2, No. 115
DOS at the Fermi energy in states/eV per atom: 0.525
Calculated volume in A^3/atom: 23.904
Size of the total moment in μB/atom: 0.000

---

## Ga3Ni4Pt (GGA-PBE)

Data for Ga3Ni4Pt after structural relaxation.

Unit cell a=8.477 b=5.470 c=4.391 alpha=90.00 beta=90.00 gamma=90.00
Fractional coordinates of all 16 atoms:
Ga  0.000  0.000  0.000
Ga  0.250  0.000  0.392
Ga  0.250  0.500  0.379
Ga  0.500  0.000  0.000
Ga  0.750  0.000  0.608
Ga  0.750  0.500  0.621
Ni  0.000  0.238  0.500
Ni  0.000  0.762  0.500
Ni  0.250  0.242  0.864
Ni  0.250  0.758  0.864
Ni  0.500  0.238  0.500
Ni  0.500  0.762  0.500
Ni  0.750  0.242  0.136
Ni  0.750  0.758  0.136
Pt  0.000  0.500  0.000
Pt  0.500  0.500  0.000

Summary:
Electronic total energy in eV/cell: -82.2
Space group: Pmma, No. 51
DOS at the Fermi energy in states/eV per atom: 0.577
Calculated volume in A^3/atom: 12.727
Size of the total moment in μB/atom: 0.000

---

- The lowest DOS at the Fermi energy belongs to which entry?
  LiTeAs2

---

- The highest calculated volume belongs to which entry?
  LiTeAs2

---

- The highest electronic total energy belongs to which entry?
  LiTeAs2

---

- What is the formula in the first record?
  RuRh2N2